A plane-wave DFT calculation with GGA-PBE was carried out for Sr3TlAs after structural relaxation.

Calculated values
**Crystal system**: cubic
**Polymorph energy (0 for the lowest one)**: 0.00 eV/f.u.
**Symmetry**: Pm-3m (221)
**Mass density**: 4.2 Mg/m³
**Energy relative to the elements**: -0.569 eV per atom
**Uncorrected energy**: -2.981 eV per atom
**Magnetic moment**: 0.00 μB per formula unit

Cell lengths 5.983, 5.983, 5.983 Å; angles 90.00, 90.00, 90.00 degrees
Fractional positions:
Sr (0.000, 0.000, 0.500)
Sr (0.000, 0.500, 0.000)
Sr (0.500, 0.000, 0.000)
Tl (0.500, 0.500, 0.500)
As (0.000, 0.000, 0.000)